A) ! Mg4SnGe, optimized geometry, DFT PBE; values from VASP
&SYSTEM
  ibrav = 0, nat = 6, ntyp = 3
/
ATOMIC_SPECIES
Mg 24.30 Mg.upf
Ge 72.64 Ge.upf
Sn 118.71 Sn.upf
CELL_PARAMETERS angstrom
-4.605 0.086 -0.851
-1.782 -2.543 -3.503
-3.119 -6.688 3.311
ATOMIC_POSITIONS crystal
Mg 0.121 0.122 0.636
Mg 0.372 0.372 0.884
Mg 0.879 0.878 0.364
Mg 0.628 0.628 0.116
Ge 0.000 0.000 0.000
Sn 0.500 0.500 0.500
! Space group: No. 166
! M_tot (μB per atom): 0.00
! V (Å³/cell): 144.71

B) ! Mg4SnGe, optimized geometry, DFT PBE; values from VASP
&SYSTEM
  ibrav = 0, nat = 6, ntyp = 3
/
ATOMIC_SPECIES
Mg 24.30 Mg.upf
Ge 72.64 Ge.upf
Sn 118.71 Sn.upf
CELL_PARAMETERS angstrom
0.000 4.092 4.092
4.092 0.000 4.092
4.092 4.092 0.000
ATOMIC_POSITIONS crystal
Mg 0.375 0.375 0.375
Mg 0.375 0.375 0.874
Mg 0.375 0.874 0.375
Mg 0.874 0.375 0.375
Ge 0.750 0.750 0.750
Sn 0.000 0.000 0.000
! Space group: No. 216
! M_tot (μB per atom): 0.00
! V (Å³/cell): 136.99

Which of them is least stable? Easy: B).

A) ! MgSn2Ge2, optimized geometry, DFT PBE; values from VASP
&SYSTEM
  ibrav = 0, nat = 5, ntyp = 3
/
ATOMIC_SPECIES
Mg 24.30 Mg.upf
Ge 72.64 Ge.upf
Sn 118.71 Sn.upf
CELL_PARAMETERS angstrom
3.933 0.000 0.000
0.000 3.933 0.000
1.967 1.967 7.894
ATOMIC_POSITIONS crystal
Mg 0.000 0.000 0.000
Ge 0.750 0.250 0.500
Ge 0.250 0.750 0.500
Sn 0.603 0.603 0.794
Sn 0.397 0.397 0.206
! Space group: No. 139
! M_tot (μB per atom): 0.00
! V (Å³/cell): 122.14

B) ! MgSn2Ge2, optimized geometry, DFT PBE; values from VASP
&SYSTEM
  ibrav = 0, nat = 5, ntyp = 3
/
ATOMIC_SPECIES
Mg 24.30 Mg.upf
Ge 72.64 Ge.upf
Sn 118.71 Sn.upf
CELL_PARAMETERS angstrom
-0.185 -0.151 4.631
-4.621 -0.326 -0.196
-1.962 -6.392 2.035
ATOMIC_POSITIONS crystal
Mg 0.000 0.000 0.000
Ge 0.396 0.396 0.209
Ge 0.604 0.604 0.791
Sn 0.250 0.750 0.500
Sn 0.750 0.250 0.500
! Space group: No. 139
! M_tot (μB per atom): 0.00
! V (Å³/cell): 132.70

Which of them is least stable? Easy: B).